Tb2Sm4HoSc | GGA-PBE | optimized geometry

Its mass density is 7.4 g/cm³. The energy comes out at -38.823 eV for the cell shown. For the energy of formation from the pure elements, the calculation gives 28 meV/atom. As for the crystal system: orthorhombic.

The space group is Pmmm (No. 47) and the conventional cell measures 5.039, 5.052 and 9.951 Å, with angles of 90.00, 90.00 and 90.00 degrees. The distinct sites, in fractional coordinates, are Tb at (0.000, 0.000, 0.000), Tb at (0.500, 0.500, 0.500), Sm at (0.000, 0.500, 0.245), Sm at (0.500, 0.000, 0.245), Ho at (0.000, 0.000, 0.500) and Sc at (0.500, 0.500, 0.000).

***

Pm4Sm2Pb3N2 | GGA-PBE | optimized geometry

Its mass density is 8.3 g/cm³. The energy comes out at -131.334 eV for the cell shown. For the uncorrected formation energy, the calculation gives -912 kJ/mol of formula units. As for the crystal system: tetragonal.

The space group is I4/mmm (No. 139) and the conventional cell measures 4.861, 4.861 and 25.996 Å, with angles of 90.00, 90.00 and 90.00 degrees. The distinct sites, in fractional coordinates, are Pm at (0.000, 0.500, 0.085), Sm at (0.000, 0.000, 0.192), Pb at (0.000, 0.000, 0.321), Pb at (0.000, 0.000, 0.500) and N at (0.000, 0.000, 0.104).

***

TlTc2Se | GGA-PBE | optimized geometry

Its mass density is 10.5 g/cm³. The energy comes out at -25.754 eV for the cell shown. For the uncorrected formation energy, the calculation gives 80 kJ/mol of formula units. As for the crystal system: tetragonal.

The space group is P4mm (No. 99) and the conventional cell measures 2.991, 2.991 and 8.486 Å, with angles of 90.00, 90.00 and 90.00 degrees. The distinct sites, in fractional coordinates, are Tl at (0.000, 0.000, 0.000), Tc at (0.000, 0.000, 0.549), Tc at (0.500, 0.500, 0.747) and Se at (0.500, 0.500, 0.368).

***

Pm6Ge2C | GGA-PBE | optimized geometry

Its mass density is 6.9 g/cm³. The energy comes out at -102.307 eV for the cell shown. For the energy of formation from the pure elements, the calculation gives -466 meV/atom. As for the crystal system: monoclinic.

The space group is P2_1/c (No. 14) and the conventional cell measures 6.386, 8.021 and 11.351 Å, with angles of 90.00, 122.25 and 90.00 degrees. The distinct sites, in fractional coordinates, are Pm at (0.114, 0.160, 0.445), Pm at (0.308, 0.706, 0.447), Pm at (0.365, 0.035, 0.249), Ge at (0.189, 0.113, 0.758) and C at (0.500, 0.000, 0.500).

***

Sm12Ho3Zn | GGA-PBE | optimized geometry

Its mass density is 7.7 g/cm³. The energy comes out at -71.388 eV for the cell shown. For the energy of formation from the pure elements, the calculation gives 16 meV/atom. As for the crystal system: tetragonal.

The space group is P4/mmm (No. 123) and the conventional cell measures 5.018, 5.018 and 20.278 Å, with angles of 90.00, 90.00 and 90.00 degrees. The distinct sites, in fractional coordinates, are Sm at (0.000, 0.000, 0.000), Sm at (0.000, 0.000, 0.243), Sm at (0.000, 0.000, 0.500), Sm at (0.000, 0.500, 0.118), Sm at (0.000, 0.500, 0.372), Ho at (0.500, 0.500, 0.245), Ho at (0.500, 0.500, 0.500) and Zn at (0.500, 0.500, 0.000).

***

Li4Ho3Pb4 | GGA-PBE | optimized geometry

Its mass density is 8.8 g/cm³. The energy comes out at -82.293 eV for the cell shown. For the energy of formation from the pure elements, the calculation gives -448 meV/atom. As for the crystal system: orthorhombic.

The space group is Immm (No. 71) and the conventional cell measures 4.640, 7.242 and 15.172 Å, with angles of 90.00, 90.00 and 90.00 degrees. The distinct sites, in fractional coordinates, are Li at (0.000, 0.190, 0.175), Ho at (0.000, 0.000, 0.374), Ho at (0.000, 0.500, 0.500), Pb at (0.000, 0.290, 0.000) and Pb at (0.000, 0.500, 0.285).

***

Q: mass density of number 2 (Pm4Sm2Pb3N2)?
A: 8.3 g/cm³